[1]
Density functional theory data (PBE-GGA) for a relaxed structure of BaZnIn.

Cell lengths 7.7937, 7.7937, 7.7937 Å; angles 90.00, 90.00, 90.00 degrees
Element x y z (fractional)
1 Ba 0.0000 0.0000 0.0000
2 Ba 0.0000 0.5000 0.5000
3 Ba 0.5000 0.0000 0.5000
4 Ba 0.5000 0.5000 0.0000
5 Zn 0.2500 0.2500 0.7500
6 Zn 0.2500 0.7500 0.2500
7 Zn 0.7500 0.2500 0.2500
8 Zn 0.7500 0.7500 0.7500
9 In 0.2500 0.2500 0.2500
10 In 0.2500 0.7500 0.7500
11 In 0.7500 0.2500 0.7500
12 In 0.7500 0.7500 0.2500

Computed properties:
* energy of formation: 0.228 eV/atom
* magnetization: 0.00 μB/cell
* symmetry: F-43m

=====

[2]
Density functional theory data (PBE-GGA) for a relaxed structure of Ba2ZnIn.

Cell lengths 9.2992, 9.2992, 7.5848 Å; angles 90.00, 90.00, 90.00 degrees
Element x y z (fractional)
1 Ba 0.2214 0.2500 0.1250
2 Ba 0.2500 0.7214 0.3750
3 Ba 0.2500 0.7786 0.8750
4 Ba 0.2786 0.2500 0.6250
5 Ba 0.7214 0.7500 0.6250
6 Ba 0.7500 0.2214 0.8750
7 Ba 0.7500 0.2786 0.3750
8 Ba 0.7786 0.7500 0.1250
9 Zn 0.0000 0.0000 0.0000
10 Zn 0.0000 0.5000 0.2500
11 Zn 0.5000 0.0000 0.7500
12 Zn 0.5000 0.5000 0.5000
13 In 0.0000 0.0000 0.5000
14 In 0.0000 0.5000 0.7500
15 In 0.5000 0.0000 0.2500
16 In 0.5000 0.5000 0.0000

Computed properties:
* energy of formation: 0.025 eV/atom
* magnetization: 0.00 μB/cell
* symmetry: I-42d

=====

[3]
Density functional theory data (PBE-GGA) for a relaxed structure of Ba2ZnIn.

Cell lengths 13.3739, 4.0091, 5.8625 Å; angles 90.00, 115.98, 90.00 degrees
Element x y z (fractional)
1 Ba 0.0000 0.0000 0.0000
2 Ba 0.1896 0.0000 0.6903
3 Ba 0.5000 0.5000 0.0000
4 Ba 0.6896 0.5000 0.6903
5 Zn 0.4447 0.0000 0.4444
6 Zn 0.9447 0.5000 0.4444
7 In 0.2768 0.5000 0.2775
8 In 0.7768 0.0000 0.2775

Computed properties:
* energy of formation: -0.260 eV/atom
* magnetization: 0.00 μB/cell
* symmetry: Cm

=====

[4]
Density functional theory data (PBE-GGA) for a relaxed structure of Ba2Zn2In.

Cell lengths 6.5588, 6.5588, 8.2173 Å; angles 90.00, 90.00, 90.00 degrees
Element x y z (fractional)
1 Ba 0.0000 0.5000 0.2500
2 Ba 0.0000 0.5000 0.7500
3 Ba 0.5000 0.0000 0.2500
4 Ba 0.5000 0.0000 0.7500
5 Zn 0.0000 0.0000 0.1489
6 Zn 0.0000 0.0000 0.8511
7 Zn 0.5000 0.5000 0.3511
8 Zn 0.5000 0.5000 0.6489
9 In 0.0000 0.0000 0.5000
10 In 0.5000 0.5000 0.0000

Computed properties:
* energy of formation: -0.124 eV/atom
* magnetization: 0.00 μB/cell
* symmetry: I4/mmm

=====

[5]
Density functional theory data (PBE-GGA) for a relaxed structure of Ba3Zn3In.

Cell lengths 6.5957, 6.5957, 15.5532 Å; angles 90.00, 90.00, 137.24 degrees
Element x y z (fractional)
1 Ba 0.0072 0.9928 0.7500
2 Ba 0.2765 0.7235 0.1024
3 Ba 0.2765 0.7235 0.3976
4 Ba 0.7235 0.2765 0.6024
5 Ba 0.7235 0.2765 0.8976
6 Ba 0.9928 0.0072 0.2500
7 Zn 0.3096 0.6904 0.7500
8 Zn 0.4347 0.5653 0.5890
9 Zn 0.4347 0.5653 0.9110
10 Zn 0.5653 0.4347 0.0890
11 Zn 0.5653 0.4347 0.4110
12 Zn 0.6904 0.3096 0.2500
13 In 0.0000 0.0000 0.0000
14 In 0.0000 0.0000 0.5000

Computed properties:
* energy of formation: -0.235 eV/atom
* magnetization: 0.00 μB/cell
* symmetry: Cmcm

=====

[6]
Density functional theory data (PBE-GGA) for a relaxed structure of Ba5ZnIn.

Cell lengths 8.0956, 8.0956, 13.0480 Å; angles 107.61, 107.61, 61.50 degrees
Element x y z (fractional)
1 Ba 0.0156 0.9844 0.7500
2 Ba 0.0512 0.4069 0.6481
3 Ba 0.2351 0.5408 0.9866
4 Ba 0.4069 0.0512 0.1481
5 Ba 0.4592 0.7649 0.5134
6 Ba 0.5408 0.2351 0.4866
7 Ba 0.5931 0.9488 0.8519
8 Ba 0.7649 0.4592 0.0134
9 Ba 0.9488 0.5931 0.3519
10 Ba 0.9844 0.0156 0.2500
11 Zn 0.0000 0.0000 0.0000
12 Zn 0.0000 0.0000 0.5000
13 In 0.4643 0.5357 0.7500
14 In 0.5357 0.4643 0.2500

Computed properties:
* energy of formation: -0.064 eV/atom
* magnetization: 0.00 μB/cell
* symmetry: C2/c

=====

[7]
Density functional theory data (PBE-GGA) for a relaxed structure of Ba7Zn2In2.

Cell lengths 7.9911, 7.9911, 8.3726 Å; angles 90.00, 90.00, 109.69 degrees
Element x y z (fractional)
1 Ba 0.0000 0.0000 0.0000
2 Ba 0.0000 0.5000 0.2694
3 Ba 0.0000 0.5000 0.7306
4 Ba 0.5000 0.0000 0.2694
5 Ba 0.5000 0.0000 0.7306
6 Ba 0.5000 0.5000 0.2571
7 Ba 0.5000 0.5000 0.7429
8 Zn 0.2957 0.7043 0.0000
9 Zn 0.7043 0.2957 0.0000
10 In 0.1579 0.1579 0.5000
11 In 0.8421 0.8421 0.5000

Computed properties:
* energy of formation: -0.105 eV/atom
* magnetization: 0.00 μB/cell
* symmetry: Cmmm

=====

[8]
Density functional theory data (PBE-GGA) for a relaxed structure of Ba2Zn2In.

Cell lengths 6.5309, 6.5309, 12.1405 Å; angles 116.50, 116.50, 45.83 degrees
Element x y z (fractional)
1 Ba 0.0159 0.0159 0.3332
2 Ba 0.2082 0.2082 0.1179
3 Ba 0.7918 0.7918 0.8821
4 Ba 0.9841 0.9841 0.6668
5 Zn 0.3688 0.3688 0.4495
6 Zn 0.4984 0.4984 0.8932
7 Zn 0.5016 0.5016 0.1068
8 Zn 0.6312 0.6312 0.5505
9 In 0.2719 0.2719 0.6428
10 In 0.7281 0.7281 0.3572

Computed properties:
* energy of formation: -0.252 eV/atom
* magnetization: 0.00 μB/cell
* symmetry: C2/m